Entry 1:
# HfNbReAg (PBE-GGA, relaxed)
# DFT formation energy, eV per atom: 0.004
data_HfNbReAg
_space_group_name_H-M_alt 'F -4 3 m'
_space_group_IT_number 216
_space_group_name_Hall 'F -4 2 3'
_cell_length_a 6.5911
_cell_length_b 6.5911
_cell_length_c 6.5911
_cell_angle_alpha 90.00
_cell_angle_beta 90.00
_cell_angle_gamma 90.00
loop_
_atom_site_label
_atom_site_fract_x
_atom_site_fract_y
_atom_site_fract_z
Hf1 0.0000 0.0000 0.0000
Nb1 0.0000 0.0000 0.5000
Re1 0.2500 0.2500 0.2500
Ag1 0.2500 0.2500 0.7500

***

Entry 2:
# HfNb2TcAg (PBE-GGA, relaxed)
# DFT formation energy, eV per atom: 1.671
data_HfNb2TcAg
_space_group_name_H-M_alt 'P 4/m m m'
_space_group_IT_number 123
_space_group_name_Hall '-P 4 2'
_cell_length_a 4.9456
_cell_length_b 4.9456
_cell_length_c 4.6607
_cell_angle_alpha 90.00
_cell_angle_beta 90.00
_cell_angle_gamma 90.00
loop_
_atom_site_label
_atom_site_fract_x
_atom_site_fract_y
_atom_site_fract_z
Hf1 0.0000 0.0000 0.0000
Nb1 0.0000 0.5000 0.0000
Tc1 0.0000 0.0000 0.5000
Ag1 0.5000 0.5000 0.5000

***

Entry 3:
# HfNb2AgW (PBE-GGA, relaxed)
# DFT formation energy, eV per atom: 1.914
data_HfNb2AgW
_space_group_name_H-M_alt 'P 4/m m m'
_space_group_IT_number 123
_space_group_name_Hall '-P 4 2'
_cell_length_a 4.8634
_cell_length_b 4.8634
_cell_length_c 4.8659
_cell_angle_alpha 90.00
_cell_angle_beta 90.00
_cell_angle_gamma 90.00
loop_
_atom_site_label
_atom_site_fract_x
_atom_site_fract_y
_atom_site_fract_z
Hf1 0.0000 0.0000 0.0000
Nb1 0.0000 0.5000 0.5000
Ag1 0.5000 0.5000 0.5000
W1 0.5000 0.5000 0.0000

***

Entry 4:
# HfZrNbAg (PBE-GGA, relaxed)
# DFT formation energy, eV per atom: 0.064
data_HfZrNbAg
_space_group_name_H-M_alt 'F -4 3 m'
_space_group_IT_number 216
_space_group_name_Hall 'F -4 2 3'
_cell_length_a 6.8239
_cell_length_b 6.8239
_cell_length_c 6.8239
_cell_angle_alpha 90.00
_cell_angle_beta 90.00
_cell_angle_gamma 90.00
loop_
_atom_site_label
_atom_site_fract_x
_atom_site_fract_y
_atom_site_fract_z
Hf1 0.0000 0.0000 0.0000
Zr1 0.0000 0.0000 0.5000
Nb1 0.2500 0.2500 0.2500
Ag1 0.2500 0.2500 0.7500

***

Entry 5:
# NdHfAg (PBE-GGA, relaxed)
# Distance to the lowest polymorph of the same formula, meV/atom: 12
# DFT formation energy, eV per atom: 0.004
data_NdHfAg
_space_group_name_H-M_alt 'I 4 m m'
_space_group_IT_number 107
_space_group_name_Hall 'I 4 -2'
_cell_length_a 3.4301
_cell_length_b 3.4301
_cell_length_c 12.5879
_cell_angle_alpha 90.00
_cell_angle_beta 90.00
_cell_angle_gamma 90.00
loop_
_atom_site_label
_atom_site_fract_x
_atom_site_fract_y
_atom_site_fract_z
Nd1 0.0000 0.0000 0.0000
Hf1 0.0000 0.0000 0.6831
Ag1 0.0000 0.0000 0.3137

***

Entry 6:
# NdHfAg (PBE-GGA, relaxed)
# Distance to the lowest polymorph of the same formula, meV/atom: 0
# DFT formation energy, eV per atom: -0.008
data_NdHfAg
_space_group_name_H-M_alt 'P 4/n m m'
_space_group_IT_number 129
_cell_length_a 3.8265
_cell_length_b 3.8265
_cell_length_c 10.3252
_cell_angle_alpha 90.00
_cell_angle_beta 90.00
_cell_angle_gamma 90.00
loop_
_space_group_symop_operation_xyz
'x,y,z'
'-x,-y,-z'
'-y+1/2,x,z'
'y+1/2,-x,-z'
'-x+1/2,-y+1/2,z'
'x+1/2,y+1/2,-z'
'y,-x+1/2,z'
'-y,x+1/2,-z'
'x+1/2,-y,-z'
'-x+1/2,y,z'
'-y,-x,-z'
'y,x,z'
'-x,y+1/2,-z'
'x,-y+1/2,z'
'y+1/2,x+1/2,-z'
'-y+1/2,-x+1/2,z'
loop_
_atom_site_label
_atom_site_fract_x
_atom_site_fract_y
_atom_site_fract_z
Nd1 0.2500 0.2500 0.2391
Hf1 0.2500 0.2500 0.5601
Ag1 0.2500 0.2500 0.9283

***

Entry 7:
# Hf2NiAg (PBE-GGA, relaxed)
# Distance to the lowest polymorph of the same formula, meV/atom: 0
# DFT formation energy, eV per atom: -0.169
data_Hf2NiAg
_space_group_name_H-M_alt 'P 4/m m m'
_space_group_IT_number 123
_space_group_name_Hall '-P 4 2'
_cell_length_a 3.1809
_cell_length_b 3.1809
_cell_length_c 7.0940
_cell_angle_alpha 90.00
_cell_angle_beta 90.00
_cell_angle_gamma 90.00
loop_
_atom_site_label
_atom_site_fract_x
_atom_site_fract_y
_atom_site_fract_z
Hf1 0.0000 0.0000 0.2225
Ni1 0.5000 0.5000 0.0000
Ag1 0.5000 0.5000 0.5000

***

Entry 8:
# Hf2NiAg (PBE-GGA, relaxed)
# Distance to the lowest polymorph of the same formula, meV/atom: 83
# DFT formation energy, eV per atom: -0.086
data_Hf2NiAg
_space_group_name_H-M_alt 'F m -3 m'
_space_group_IT_number 225
_space_group_name_Hall '-F 4 2 3'
_cell_length_a 6.6071
_cell_length_b 6.6071
_cell_length_c 6.6071
_cell_angle_alpha 90.00
_cell_angle_beta 90.00
_cell_angle_gamma 90.00
loop_
_atom_site_label
_atom_site_fract_x
_atom_site_fract_y
_atom_site_fract_z
Hf1 0.2500 0.2500 0.2500
Ni1 0.0000 0.0000 0.0000
Ag1 0.0000 0.0000 0.5000